[1]
Density functional theory data (PBE) for a relaxed structure of MgBeGa2Cu4.

final energy: -3.3543 eV per atom

Lattice parameters (Å, degrees): 4.136 4.136 6.012 90.00 90.00 90.00
Space group P4/mmm (No. 123)
One atom of each set of equivalent atoms:
1 Mg 0.000 0.000 0.000
2 Be 0.500 0.500 0.500
3 Ga 0.000 0.000 0.500
4 Ga 0.500 0.500 0.000
5 Cu 0.000 0.500 0.275

[2]
Density functional theory data (PBE) for a relaxed structure of SmSc.

excess energy over the best structure of this formula in the dataset: 466 meV/atom
final energy: -4.9765 eV per atom

Lattice parameters (Å, degrees): 4.1297 4.1297 7.7183 90.00 90.00 120.00
Space group P6_3/mmc (No. 194)
One atom of each set of equivalent atoms:
1 Sm 0.3333 0.6667 0.2500
2 Sc 0.0000 0.0000 0.0000

[3]
Density functional theory data (PBE) for a relaxed structure of KPaSn.

excess energy over the best structure of this formula in the dataset: 0 meV/atom
final energy: -3.8949 eV per atom

Lattice parameters (Å, degrees): 7.603 7.603 7.603 90.00 90.00 90.00
Space group F-43m (No. 216)
One atom of each set of equivalent atoms:
1 K 0.000 0.000 0.000
2 Pa 0.250 0.250 0.250
3 Sn 0.000 0.000 0.500

[4]
Density functional theory data (PBE) for a relaxed structure of GaCuAg.

excess energy over the best structure of this formula in the dataset: 0 meV/atom
final energy: -3.0776 eV per atom

Lattice parameters (Å, degrees): 5.951 5.951 5.951 90.00 90.00 90.00
Space group F-43m (No. 216)
One atom of each set of equivalent atoms:
1 Ga 0.000 0.000 0.000
2 Cu 0.250 0.250 0.750
3 Ag 0.000 0.000 0.500

[5]
Density functional theory data (PBE) for a relaxed structure of Li2SbPt.

final energy: -4.1805 eV per atom

Lattice parameters (Å, degrees): 6.326 6.326 6.326 90.00 90.00 90.00
Space group F-43m (No. 216)
One atom of each set of equivalent atoms:
1 Li 0.000 0.000 0.000
2 Li 0.250 0.250 0.250
3 Sb 0.000 0.000 0.500
4 Pt 0.250 0.250 0.750

[6]
Density functional theory data (PBE) for a relaxed structure of Y4Zr2Tl3C3.

final energy: -6.9498 eV per atom

Lattice parameters (Å, degrees): 10.636 6.146 16.140 90.00 102.98 90.00
Space group C2/c (No. 15)
One atom of each set of equivalent atoms:
1 Y 0.114 0.078 0.089
2 Y 0.217 0.087 0.411
3 Zr 0.061 0.414 0.926
4 Tl 0.000 0.115 0.750
5 Tl 0.150 0.433 0.249
6 C 0.076 0.271 0.500
7 C 0.250 0.250 0.000

[7]
Density functional theory data (PBE) for a relaxed structure of LuGaPd.

final energy: -5.1441 eV per atom

Lattice parameters (Å, degrees): 6.764 4.411 7.640 90.00 90.00 90.00
Space group Pnma (No. 62)
One atom of each set of equivalent atoms:
1 Lu 0.016 0.250 0.201
2 Ga 0.179 0.250 0.575
3 Pd 0.227 0.750 0.402

[8]
Density functional theory data (PBE) for a relaxed structure of TbBiN2O.

final energy: -6.6821 eV per atom

Lattice parameters (Å, degrees): 8.232 8.158 11.633 90.00 132.85 90.00
Space group P2_1/c (No. 14)
One atom of each set of equivalent atoms:
1 Tb 0.051 0.227 0.028
2 Tb 0.438 0.723 0.481
3 Bi 0.027 0.005 0.271
4 Bi 0.491 0.510 0.233
5 N 0.074 0.744 0.721
6 N 0.196 0.595 0.002
7 N 0.291 0.105 0.295
8 N 0.431 0.242 0.648
9 O 0.189 0.544 0.504
10 O 0.331 0.030 0.833

[9]
Density functional theory data (PBE) for a relaxed structure of TmTlRe.

excess energy over the best structure of this formula in the dataset: 306 meV/atom
final energy: -5.1785 eV per atom

Lattice parameters (Å, degrees): 6.752 6.752 6.752 90.00 90.00 90.00
Space group F-43m (No. 216)
One atom of each set of equivalent atoms:
1 Tm 0.000 0.000 0.000
2 Tl 0.250 0.250 0.250
3 Re 0.250 0.250 0.750

[10]
Density functional theory data (PBE) for a relaxed structure of Ta2NbTl.

final energy: -8.6405 eV per atom

Lattice parameters (Å, degrees): 6.737 6.737 6.737 90.00 90.00 90.00
Space group F-43m (No. 216)
One atom of each set of equivalent atoms:
1 Ta 0.000 0.000 0.000
2 Ta 0.250 0.250 0.250
3 Nb 0.250 0.250 0.750
4 Tl 0.000 0.000 0.500

[11]
Density functional theory data (PBE) for a relaxed structure of Zr2Cu2SiGeN2.

final energy: -6.5920 eV per atom

Lattice parameters (Å, degrees): 3.352 3.352 9.390 90.00 90.00 90.00
Space group P-4m2 (No. 115)
One atom of each set of equivalent atoms:
1 Zr 0.000 0.500 0.244
2 Cu 0.000 0.000 0.500
3 Cu 0.500 0.500 0.500
4 Si 0.500 0.500 0.000
5 Ge 0.000 0.000 0.000
6 N 0.000 0.500 0.683

[12]
Density functional theory data (PBE) for a relaxed structure of Li2ZnFeH6.

final energy: -3.4544 eV per atom

Lattice parameters (Å, degrees): 6.604 6.604 6.604 90.00 90.00 90.00
Space group Fm-3m (No. 225)
One atom of each set of equivalent atoms:
1 Li 0.250 0.250 0.250
2 Zn 0.000 0.000 0.000
3 Fe 0.000 0.000 0.500
4 H 0.000 0.000 0.262